Record 1
## ZrCdRe2 (PBEsol)

Data for ZrCdRe2 after structural relaxation.

abc: 3.228 4.530 9.361
angles: 90.00 90.00 90.00
Space group Cmm2 (No. 35)
Asymmetric unit:
Zr1 0.000 0.000 0.000 x2
Cd1 0.000 0.500 0.281 x2
Re1 0.000 0.000 0.539 x2
Re2 0.000 0.500 0.757 x2

=====

Record 2
## Zr2CdRe (PBEsol)

Data for Zr2CdRe after structural relaxation.

abc: 3.432 4.629 9.696
angles: 90.00 90.00 90.00
Space group Imm2 (No. 44)
Asymmetric unit:
Zr1 0.000 0.000 0.000 x2
Zr2 0.000 0.500 0.227 x2
Cd1 0.000 0.000 0.455 x2
Re1 0.000 0.500 0.717 x2

=====

Record 3
## ZrCd3Re (PBEsol)

Data for ZrCd3Re after structural relaxation.

abc: 5.324 5.324 5.324
angles: 90.00 90.00 90.00
Space group Pm-3m (No. 221)
Asymmetric unit:
Zr1 0.000 0.000 0.000 x1
Cd1 0.000 0.000 0.500 x3
Re1 0.500 0.500 0.500 x1

=====

Record 4
## Cd5Rh (PBEsol)

Data for Cd5Rh after structural relaxation.

abc: 4.680 3.089 15.520
angles: 90.00 90.00 90.00
Space group Amm2 (No. 38)
Asymmetric unit:
Cd1 0.000 0.000 0.000 x2
Cd2 0.000 0.000 0.308 x2
Cd3 0.500 0.000 0.107 x2
Cd4 0.500 0.000 0.432 x2
Cd5 0.500 0.000 0.763 x2
Rh1 0.000 0.000 0.655 x2

Distance to the lowest polymorph of the same formula: 2.55 kJ per mole of atoms

=====

Record 5
## Cd7Rh (PBEsol)

Data for Cd7Rh after structural relaxation.

abc: 8.432 8.432 8.432
angles: 90.00 90.00 90.00
Space group Fm-3m (No. 225)
Asymmetric unit:
Cd1 0.000 0.000 0.000 x4
Cd2 0.000 0.250 0.250 x24
Rh1 0.000 0.000 0.500 x4

=====

Record 6
## Cd5Rh (PBEsol)

Data for Cd5Rh after structural relaxation.

abc: 10.979 3.026 7.019
angles: 90.00 106.48 90.00
Space group Cm (No. 8)
Asymmetric unit:
Cd1 0.000 0.000 0.000 x2
Cd2 0.039 0.000 0.616 x2
Cd3 0.161 0.500 0.337 x2
Cd4 0.311 0.000 0.697 x2
Cd5 0.370 0.000 0.251 x2
Rh1 0.206 0.500 0.950 x2

Distance to the lowest polymorph of the same formula: 2.41 kJ per mole of atoms

=====

Record 7
## Cd5Rh (PBEsol)

Data for Cd5Rh after structural relaxation.

abc: 5.2067 5.2067 4.6937
angles: 90.00 90.00 120.00
Space group P-62m (No. 189)
Asymmetric unit:
Cd1 0.0000 0.6793 0.0000 x3
Cd2 0.3333 0.6667 0.5000 x2
Rh1 0.0000 0.0000 0.5000 x1

Distance to the lowest polymorph of the same formula: 1.65 kJ per mole of atoms

=====

Record 8
## Cd5Rh (PBEsol)

Data for Cd5Rh after structural relaxation.

abc: 3.100 3.100 11.914
angles: 90.00 90.00 90.00
Space group P4/mmm (No. 123)
Asymmetric unit:
Cd1 0.000 0.000 0.000 x1
Cd2 0.000 0.000 0.360 x2
Cd3 0.500 0.500 0.179 x2
Rh1 0.500 0.500 0.500 x1

Distance to the lowest polymorph of the same formula: 4.61 kJ per mole of atoms

=====

Record 9
## Cd5Rh (PBEsol)

Data for Cd5Rh after structural relaxation.

abc: 4.198 12.838 4.093
angles: 90.00 90.00 90.00
Space group Cmmm (No. 65)
Asymmetric unit:
Cd1 0.000 0.000 0.000 x2
Cd2 0.000 0.160 0.500 x4
Cd3 0.000 0.340 0.000 x4
Rh1 0.000 0.500 0.500 x2

Distance to the lowest polymorph of the same formula: 0.00 kJ per mole of atoms

=====

Record 10
## Cd4Rh (PBEsol)

Data for Cd4Rh after structural relaxation.

abc: 6.686 6.686 4.039
angles: 90.00 90.00 90.00
Space group I4/m (No. 87)
Asymmetric unit:
Cd1 0.101 0.710 0.000 x8
Rh1 0.000 0.000 0.500 x2

=====

Record 11
## CdRu2Rh (PBEsol)

Data for CdRu2Rh after structural relaxation.

abc: 2.750 4.511 9.667
angles: 90.00 90.00 90.00
Space group Immm (No. 71)
Asymmetric unit:
Cd1 0.000 0.000 0.000 x2
Ru1 0.000 0.500 0.224 x4
Rh1 0.000 0.000 0.500 x2

=====

Record 12
## Cd2RuRh (PBEsol)

Data for Cd2RuRh after structural relaxation.

abc: 2.978 4.682 9.186
angles: 90.00 90.00 90.00
Space group Cmmm (No. 65)
Asymmetric unit:
Cd1 0.000 0.000 0.247 x4
Ru1 0.000 0.500 0.500 x2
Rh1 0.000 0.500 0.000 x2

=====

Record 13
## Cd2RuRh (PBEsol)

Data for Cd2RuRh after structural relaxation.

abc: 9.196 2.816 4.975
angles: 90.00 99.67 90.00
Space group C2/m (No. 12)
Asymmetric unit:
Cd1 0.249 0.000 0.249 x4
Ru1 0.000 0.000 0.500 x2
Rh1 0.000 0.500 0.000 x2

=====

Record 14
## Cd2RuRh (PBEsol)

Data for Cd2RuRh after structural relaxation.

abc: 2.820 2.820 8.184
angles: 90.00 90.00 90.00
Space group P4mm (No. 99)
Asymmetric unit:
Cd1 0.000 0.000 0.000 x1
Cd2 0.500 0.500 0.299 x1
Ru1 0.500 0.500 0.747 x1
Rh1 0.000 0.000 0.550 x1

=====

Record 15
## Cd2SbRh (PBEsol)

Data for Cd2SbRh after structural relaxation.

abc: 3.141 5.220 4.707
angles: 90.00 92.48 90.00
Space group P2/m (No. 10)
Asymmetric unit:
Cd1 0.250 0.000 0.241 x2
Sb1 0.500 0.500 0.500 x1
Rh1 0.000 0.500 0.000 x1

=====

Record 16
## CdSb2TeRh (PBEsol)

Data for CdSb2TeRh after structural relaxation.

abc: 5.259 5.259 5.383
angles: 90.00 90.00 90.00
Space group P4/mmm (No. 123)
Asymmetric unit:
Cd1 0.000 0.000 0.000 x1
Sb1 0.000 0.500 0.000 x2
Te1 0.000 0.000 0.500 x1
Rh1 0.500 0.500 0.500 x1

=====

Record 17
## Y2CdSbRh (PBEsol)

Data for Y2CdSbRh after structural relaxation.

abc: 5.239 5.239 4.936
angles: 90.00 90.00 90.00
Space group P4/mmm (No. 123)
Asymmetric unit:
Y1 0.000 0.500 0.000 x2
Cd1 0.000 0.000 0.500 x1
Sb1 0.500 0.500 0.500 x1
Rh1 0.500 0.500 0.000 x1

=====

Record 18
## CdRh2Se (PBEsol)

Data for CdRh2Se after structural relaxation.

abc: 3.004 3.004 6.848
angles: 90.00 90.00 90.00
Space group P4/mmm (No. 123)
Asymmetric unit:
Cd1 0.000 0.000 0.000 x1
Rh1 0.500 0.500 0.282 x2
Se1 0.000 0.000 0.500 x1

=====

Record 19
## CdRh2Se2 (PBEsol)

Data for CdRh2Se2 after structural relaxation.

abc: 3.844 3.844 13.747
angles: 90.00 90.00 90.00
Space group I4/mmm (No. 139)
Asymmetric unit:
Cd1 0.000 0.000 0.000 x2
Rh1 0.000 0.500 0.250 x4
Se1 0.000 0.000 0.360 x4

=====

Record 20
## Cd2RhSe (PBEsol)

Data for Cd2RhSe after structural relaxation.

abc: 3.068 4.987 4.703
angles: 90.00 90.19 90.00
Space group P2/m (No. 10)
Asymmetric unit:
Cd1 0.246 0.000 0.243 x2
Rh1 0.500 0.500 0.000 x1
Se1 0.000 0.500 0.500 x1

=====

Record 21
## CdRhSe2 (PBEsol)

Data for CdRhSe2 after structural relaxation.

abc: 3.4594 3.4594 22.9539
angles: 90.00 90.00 120.00
Space group R3m (No. 160, hexagonal axes)
Asymmetric unit:
Cd1 0.0000 0.0000 0.0000 x3
Rh1 0.0000 0.0000 0.7548 x3
Se1 0.0000 0.0000 0.2528 x3
Se2 0.0000 0.0000 0.4762 x3

=====

Record 22
## CdRh2Se (PBEsol)

Data for CdRh2Se after structural relaxation.

abc: 9.650 3.046 4.559
angles: 90.00 107.29 90.00
Space group Cm (No. 8)
Asymmetric unit:
Cd1 0.000 0.000 0.000 x2
Rh1 0.036 0.500 0.525 x2
Rh2 0.258 0.500 0.195 x2
Se1 0.245 0.000 0.606 x2

=====

Record 23
## CdRh2Se (PBEsol)

Data for CdRh2Se after structural relaxation.

abc: 4.483 4.483 3.084
angles: 90.00 90.00 90.00
Space group P4/mmm (No. 123)
Asymmetric unit:
Cd1 0.000 0.000 0.000 x1
Rh1 0.000 0.500 0.500 x2
Se1 0.500 0.500 0.000 x1

=====

Record 24
## CdRhSe (PBEsol)

Data for CdRhSe after structural relaxation.

abc: 4.2264 4.2264 3.4541
angles: 90.00 90.00 120.00
Space group P-6m2 (No. 187)
Asymmetric unit:
Cd1 0.0000 0.0000 0.0000 x1
Rh1 0.3333 0.6667 0.5000 x1
Se1 0.6667 0.3333 0.5000 x1

=====

Record 25
## CdRhSe2 (PBEsol)

Data for CdRhSe2 after structural relaxation.

abc: 3.505 4.442 10.653
angles: 90.00 90.00 90.00
Space group Immm (No. 71)
Asymmetric unit:
Cd1 0.000 0.000 0.000 x2
Rh1 0.000 0.000 0.500 x2
Se1 0.000 0.500 0.162 x4

=====

Record 26
## CdRh2Se (PBEsol)

Data for CdRh2Se after structural relaxation.

abc: 2.974 3.685 5.981
angles: 90.00 90.00 90.00
Space group Pmm2 (No. 25)
Asymmetric unit:
Cd1 0.000 0.000 0.000 x1
Rh1 0.000 0.000 0.497 x1
Rh2 0.500 0.500 0.238 x1
Se1 0.500 0.500 0.640 x1

=====

Record 27
## Cd2SiRh2 (PBEsol)

Data for Cd2SiRh2 after structural relaxation.

abc: 6.071 6.071 4.435
angles: 90.00 90.00 90.00
Space group P4/mbm (No. 127)
Asymmetric unit:
Cd1 0.162 0.338 0.000 x4
Si1 0.000 0.000 0.500 x2
Rh1 0.153 0.653 0.500 x4

=====

Record 28
## Sm2CdRh2 (PBEsol)

Data for Sm2CdRh2 after structural relaxation.

abc: 7.405 7.405 3.826
angles: 90.00 90.00 90.00
Space group P4/mbm (No. 127)
Asymmetric unit:
Sm1 0.168 0.332 0.000 x4
Cd1 0.000 0.000 0.500 x2
Rh1 0.134 0.634 0.500 x4

=====

Record 29
## CdSnRh2 (PBEsol)

Data for CdSnRh2 after structural relaxation.

abc: 6.349 6.349 6.349
angles: 90.00 90.00 90.00
Space group Fm-3m (No. 225)
Asymmetric unit:
Cd1 0.000 0.000 0.000 x4
Sn1 0.000 0.000 0.500 x4
Rh1 0.250 0.250 0.250 x8

=====

no.,total moment (Bohr magnetons per cell),E_tot (eV per cell)
1,0.00,-71.91
2,0.00,-65.20
3,2.37,-14.94
4,0.00,-28.71
5,0.00,-66.91
6,0.00,-28.73
7,0.00,-14.41
8,0.00,-14.23
9,0.00,-29.03
10,0.00,-26.59
11,0.00,-56.44
12,1.07,-38.93
13,0.85,-39.34
14,0.00,-20.41
15,0.00,-14.90
16,0.00,-15.34
17,0.00,-29.31
18,0.00,-21.75
19,0.00,-51.27
20,0.00,-13.94
21,0.00,-52.90
22,0.00,-42.81
23,0.00,-21.25
24,0.00,-13.25
25,0.00,-35.77
26,0.00,-21.54
27,0.00,-52.84
28,0.00,-61.27
29,0.00,-92.47